No. 1
A relaxed PmSiGe2 crystal, computed with PBE.

a b c (Å): 4.4450 4.4450 5.5871
angles (deg): 66.56 66.56 60.00
Last column: nearest neighbours and their distance in Å.
Fractional positions:
Si 0.0000 0.0000 0.0000  6 Ge 2.66
Pm 0.5000 0.5000 0.5000  8 Ge 3.12-3.19
Ge 0.7141 0.7141 0.8577  3 Si 2.66, 3 Ge 2.93
Ge 0.2859 0.2859 0.1423  3 Si 2.66, 3 Ge 2.93

Fermi-level density of states = 2.65 states/eV/f.u.
space group = R-3m
raw formation energy = -0.212 eV/atom

***

No. 2
A relaxed Ba6Tl2Cd crystal, computed with PBE.

a b c (Å): 6.2645 6.2716 11.8601
angles (deg): 90.03 90.00 119.96
Last column: nearest neighbours and their distance in Å.
Fractional positions:
Ba 0.0004 0.0009 0.2127  1 Cd 3.41, 3 Tl 3.66
Ba 0.6664 0.3327 0.9517  1 Tl 3.64, 3 Ba 3.79-3.80
Ba 0.6667 0.3334 0.5864  3 Cd 3.76, 4 Tl 3.88-4.07, 3 Ba 4.16
Ba 0.3333 0.6666 0.4136  3 Cd 3.76, 4 Tl 3.88-4.07, 3 Ba 4.16
Ba 0.3336 0.6673 0.0483  1 Tl 3.64, 3 Ba 3.79-3.80
Ba 0.9996 0.9991 0.7873  1 Cd 3.41, 3 Tl 3.66
Tl 0.6675 0.3350 0.2589  8 Ba 3.64-4.07
Tl 0.3325 0.6650 0.7411  8 Ba 3.64-4.07
Cd 0.0000 0.0000 0.5000  8 Ba 3.41-3.76

energy of formation = -21.41 kJ/mol of atoms
Fermi-level density of states = 10.18 states/eV/f.u.
space group = C2/m

***

No. 3
A relaxed Rb3AlBi2 crystal, computed with PBE.

a b c (Å): 4.5532 10.5098 13.3927
angles (deg): 71.60 80.21 77.49
Last column: nearest neighbours and their distance in Å.
Fractional positions:
Rb 0.6593 0.6852 0.9962  3 Bi 3.77-3.84
Rb 0.3407 0.3148 0.0038  3 Bi 3.77-3.84
Rb 0.2316 0.1549 0.3819  3 Bi 3.57-3.66
Rb 0.7684 0.8451 0.6181  3 Bi 3.57-3.66
Rb 0.0393 0.1530 0.7683  3 Bi 3.61-3.65
Rb 0.9607 0.8470 0.2317  3 Bi 3.61-3.65
Bi 0.1406 0.5001 0.2186  2 Al 2.87
Bi 0.8594 0.4999 0.7814  2 Al 2.87
Bi 0.4165 0.7130 0.4541  2 Al 2.86-2.87
Bi 0.5835 0.2870 0.5459  2 Al 2.86-2.87
Al 0.5736 0.5018 0.3510  4 Bi 2.86-2.87
Al 0.4264 0.4982 0.6490  4 Bi 2.86-2.87

energy of formation = -17.03 kJ/mol of atoms
Fermi-level density of states = 2.42 states/eV/f.u.
space group = C2/m

***

No. 4
A relaxed Ba2InFe crystal, computed with PBE.

a b c (Å): 5.9781 5.9781 3.9760
angles (deg): 90.02 90.02 89.99
Last column: nearest neighbours and their distance in Å.
Fractional positions:
Ba 0.5000 0.5000 0.0000  4 In 3.59, 4 Fe 3.59, 2 Ba 3.98
Ba 0.0000 0.0000 0.0000  4 Fe 3.59, 4 In 3.59, 2 Ba 3.98
In 0.0000 0.5000 0.5000  8 Ba 3.59, 2 In 3.98
Fe 0.5000 0.0000 0.5000  8 Ba 3.59, 2 Fe 3.98

energy of formation = 28.51 kJ/mol of atoms
Fermi-level density of states = 4.41 states/eV/f.u.
space group = P4/mmm

***

No. 5
A relaxed KAlTe3 crystal, computed with PBE.

a b c (Å): 6.0704 6.0704 6.0704
angles (deg): 90.00 90.00 90.00
Last column: nearest neighbours and their distance in Å.
Fractional positions:
Al 0.5000 0.5000 0.5000  12 Te 4.29
K 0.0000 0.0000 0.0000  6 Te 3.04
Te 0.5000 0.0000 0.0000  2 K 3.04
Te 0.0000 0.0000 0.5000  2 K 3.04
Te 0.0000 0.5000 0.0000  2 K 3.04

Fermi-level density of states = 6.42 states/eV/f.u.
space group = Pm-3m
raw formation energy = 0.843 eV/atom

***

No. 6
A relaxed CsNb3Al crystal, computed with PBE.

a b c (Å): 5.0014 5.0014 5.0014
angles (deg): 90.00 90.00 90.00
Last column: nearest neighbours and their distance in Å.
Fractional positions:
Nb 0.5000 0.0000 0.0000  2 Cs 2.50
Nb 0.0000 0.5000 0.0000  2 Cs 2.50
Nb 0.0000 0.0000 0.5000  2 Cs 2.50
Cs 0.0000 0.0000 0.0000  6 Nb 2.50
Al 0.5000 0.5000 0.5000  12 Nb 3.54

energy of formation = 248.81 kJ/mol of atoms
Fermi-level density of states = 4.66 states/eV/f.u.
space group = Pm-3m

***

No. 7
A relaxed LaDy2Sc2 crystal, computed with PBE.

a b c (Å): 6.2326 6.2326 11.1439
angles (deg): 96.63 96.63 125.94
Last column: nearest neighbours and their distance in Å.
Fractional positions:
La 0.5000 0.5000 0.0000  4 Sc 3.11, 4 Dy 3.40
La 0.7500 0.2500 0.5000  4 Sc 3.11, 4 Dy 3.40
Dy 0.0803 0.9197 0.5000  2 Dy 3.35, 3 La 3.40-3.67, 4 Sc 3.47-3.60
Dy 0.1697 0.8303 0.0000  2 Dy 3.35, 3 La 3.40-3.67, 4 Sc 3.47-3.60
Dy 0.8303 0.1697 0.0000  2 Dy 3.35, 3 La 3.40-3.67, 4 Sc 3.47-3.60
Dy 0.4197 0.5803 0.5000  2 Dy 3.35, 3 La 3.40-3.67, 4 Sc 3.47-3.60
Sc 0.6250 0.3750 0.7500  2 La 3.11, 2 Sc 3.12, 2 Dy 3.47
Sc 0.1250 0.3750 0.7500  2 La 3.11, 2 Sc 3.12, 2 Dy 3.47
Sc 0.6250 0.8750 0.2500  2 La 3.11, 2 Sc 3.12, 2 Dy 3.47
Sc 0.6250 0.3750 0.2500  2 La 3.11, 2 Sc 3.12, 2 Dy 3.47

energy of formation = 54.03 kJ/mol of atoms
Fermi-level density of states = 9.81 states/eV/f.u.
space group = Fddd

***

No. 8
A relaxed NdY6Ho2Th3 crystal, computed with PBE.

a b c (Å): 6.2066 6.2066 11.7802
angles (deg): 95.05 95.05 120.00
Last column: nearest neighbours and their distance in Å.
Fractional positions:
Nd 0.0000 0.0000 0.0000  6 Ho 3.58, 6 Y 3.61
Y 0.5813 0.9151 0.7455  3 Th 3.52, 6 Y 3.58-3.59, 2 Ho 3.60, 1 Nd 3.61
Y 0.4187 0.0849 0.2545  3 Th 3.52, 6 Y 3.58-3.59, 2 Ho 3.60, 1 Nd 3.61
Y 0.7510 0.7510 0.2544  3 Th 3.52, 6 Y 3.58-3.59, 2 Ho 3.60, 1 Nd 3.61
Y 0.9151 0.5813 0.7455  3 Th 3.52, 6 Y 3.58-3.59, 2 Ho 3.60, 1 Nd 3.61
Y 0.0849 0.4187 0.2545  3 Th 3.52, 6 Y 3.58-3.59, 2 Ho 3.60, 1 Nd 3.61
Y 0.2490 0.2490 0.7456  3 Th 3.52, 6 Y 3.58-3.59, 2 Ho 3.60, 1 Nd 3.61
Ho 0.6668 0.3332 0.0000  3 Nd 3.58, 3 Ho 3.58-3.59, 6 Y 3.60
Ho 0.3332 0.6668 0.0000  3 Nd 3.58, 3 Ho 3.58-3.59, 6 Y 3.60
Th 0.5000 0.5000 0.5000  6 Y 3.52, 6 Th 3.58-3.59
Th 0.8336 0.1664 0.5000  6 Y 3.52, 6 Th 3.58-3.59
Th 0.1664 0.8336 0.5000  6 Y 3.52, 6 Th 3.58-3.59

energy of formation = 2.29 kJ/mol of atoms
Fermi-level density of states = 17.89 states/eV/f.u.
space group = C2/m

***

No. 9
A relaxed CuB2Pb2O6 crystal, computed with PBE.

a b c (Å): 8.8874 5.7696 6.2837
angles (deg): 64.61 90.00 90.00
Last column: nearest neighbours and their distance in Å.
Fractional positions:
O 0.1841 0.5045 0.6774  1 B 1.38
O 0.8220 0.0389 0.4146  1 B 1.39
O 0.9063 0.2685 0.7943  1 B 1.40
O 0.1780 0.9611 0.5854  1 B 1.39
O 0.3220 0.9611 0.0854  1 B 1.39
O 0.0937 0.7315 0.2057  1 B 1.40
O 0.3159 0.5045 0.1774  1 B 1.38
O 0.5937 0.2685 0.2943  1 B 1.40
O 0.6841 0.4955 0.8226  1 B 1.38
O 0.8159 0.4955 0.3226  1 B 1.38
O 0.4063 0.7315 0.7057  1 B 1.40
O 0.6780 0.0389 0.9146  1 B 1.39
B 0.2526 0.7284 0.6561  3 O 1.38-1.40
B 0.7474 0.2716 0.3439  3 O 1.38-1.40
B 0.7526 0.2716 0.8439  3 O 1.38-1.40
B 0.2474 0.7284 0.1561  3 O 1.38-1.40
Pb 0.8904 0.8143 0.8351  4 O 2.46-2.62
Pb 0.6096 0.8143 0.3351  4 O 2.46-2.62
Pb 0.3904 0.1857 0.6649  4 O 2.46-2.62
Pb 0.1096 0.1857 0.1649  4 O 2.46-2.62
Cu 0.5000 0.5000 0.0000  4 O 1.94-1.99
Cu 0.0000 0.5000 0.5000  4 O 1.94-1.99

space group = P2_1/c
raw formation energy = -1.653 eV/atom

***

No. 10
A relaxed Na2PuTa2Se6 crystal, computed with PBE.

a b c (Å): 6.4757 6.4757 7.4810
angles (deg): 96.18 96.18 116.88
Last column: nearest neighbours and their distance in Å.
Fractional positions:
Se 0.5776 0.9428 0.2922  2 Ta 2.63-2.82, 1 Pu 2.84
Se 0.0572 0.4224 0.7078  2 Ta 2.63-2.82, 1 Pu 2.84
Se 0.9428 0.5776 0.2922  2 Ta 2.63-2.82, 1 Pu 2.84
Se 0.7110 0.7110 0.7425  2 Ta 2.57
Se 0.4224 0.0572 0.7078  2 Ta 2.63-2.82, 1 Pu 2.84
Se 0.2890 0.2890 0.2575  2 Ta 2.57
Ta 0.3621 0.6379 0.5000  6 Se 2.57-2.82
Ta 0.6379 0.3621 0.5000  6 Se 2.57-2.82
Na 0.8267 0.1733 0.0000  6 Se 2.97-3.11
Na 0.1733 0.8267 0.0000  6 Se 2.97-3.11
Pu 0.0000 0.0000 0.5000  6 Se 2.84-2.93

Fermi-level density of states = 11.57 states/eV/f.u.
space group = C2/m
raw formation energy = -0.991 eV/atom

***

No. 11
A relaxed K2LiTa crystal, computed with PBE.

a b c (Å): 3.1301 3.1301 13.1502
angles (deg): 90.00 90.00 117.83
Last column: nearest neighbours and their distance in Å.
Fractional positions:
Li 0.5000 0.5000 0.2500  6 Li 3.13-3.23
K 0.0000 0.0000 0.5062  6 K 3.13-3.23
K 0.0000 0.0000 0.9938  6 K 3.13-3.23
Ta 0.5000 0.5000 0.7500  6 Ta 3.13-3.23

energy of formation = 94.18 kJ/mol of atoms
Fermi-level density of states = 4.76 states/eV/f.u.
space group = Cmmm

***

No. 12
A relaxed YNi2GeH crystal, computed with PBE.

a b c (Å): 3.9986 4.2839 3.9986
angles (deg): 90.00 90.00 90.00
Last column: nearest neighbours and their distance in Å.
Fractional positions:
Y 0.5000 0.5000 0.5000  4 Ge 2.83, 8 Ni 2.93
Ni 0.5000 0.0000 0.0000  2 H 2.00
Ni 0.0000 0.0000 0.5000  2 H 2.00
H 0.0000 0.0000 0.0000  4 Ni 2.00, 2 Ge 2.14
Ge 0.0000 0.5000 0.0000  2 H 2.14

Fermi-level density of states = 4.76 states/eV/f.u.
space group = P4/mmm

***

No. 13
A relaxed SiIrBr2 crystal, computed with PBE.

a b c (Å): 9.5095 9.5095 9.5095
angles (deg): 19.11 19.11 19.11
Last column: nearest neighbours and their distance in Å.
Fractional positions:
Si 0.5000 0.5000 0.5000  6 Br 2.91, 6 Si 3.16
Br 0.0859 0.0859 0.0859  1 Ir 2.40
Br 0.9141 0.9141 0.9141  1 Ir 2.40
Ir 0.0000 0.0000 0.0000  2 Br 2.40

Fermi-level density of states = 3.88 states/eV/f.u.
space group = R-3m
raw formation energy = 0.748 eV/atom

***

No. 14
A relaxed MgGaHRh2 crystal, computed with PBE.

a b c (Å): 4.0547 4.0547 3.6886
angles (deg): 90.00 90.00 90.00
Last column: nearest neighbours and their distance in Å.
Fractional positions:
Mg 0.0000 0.0000 0.5000  2 H 1.84
Rh 0.5000 0.0000 0.0000  2 H 2.03
Rh 0.0000 0.5000 0.0000  2 H 2.03
H 0.0000 0.0000 0.0000  2 Mg 1.84, 4 Rh 2.03
Ga 0.5000 0.5000 0.5000  8 Rh 2.74, 4 Mg 2.87

Fermi-level density of states = 1.57 states/eV/f.u.
space group = P4/mmm

***

No. 15
A relaxed BiPb3S crystal, computed with PBE.

a b c (Å): 5.5444 5.5444 5.5444
angles (deg): 90.00 90.00 90.00
Last column: nearest neighbours and their distance in Å.
Fractional positions:
Bi 0.5000 0.5000 0.5000  12 Pb 3.92
S 0.0000 0.0000 0.0000  6 Pb 2.77
Pb 0.5000 0.0000 0.0000  2 S 2.77
Pb 0.0000 0.0000 0.5000  2 S 2.77
Pb 0.0000 0.5000 0.0000  2 S 2.77

Fermi-level density of states = 1.47 states/eV/f.u.
space group = Pm-3m
raw formation energy = 0.051 eV/atom

***

No. 16
A relaxed Pa2CoOs crystal, computed with PBE.

a b c (Å): 4.7966 4.7966 4.7966
angles (deg): 60.00 60.00 60.00
Last column: nearest neighbours and their distance in Å.
Fractional positions:
Os 0.5000 0.5000 0.5000  8 Pa 2.94
Co 0.0000 0.0000 0.0000  8 Pa 2.94
Pa 0.7500 0.7500 0.7500  4 Co 2.94, 4 Os 2.94
Pa 0.2500 0.2500 0.2500  4 Co 2.94, 4 Os 2.94

energy of formation = -14.50 kJ/mol of atoms
Fermi-level density of states = 7.71 states/eV/f.u.
space group = Fm-3m

***

| no. | E (eV/atom) |
| --- | --- |
| 1 | -5.064 |
| 2 | -2.131 |
| 3 | -2.578 |
| 4 | -3.466 |
| 5 | -2.010 |
| 6 | -4.382 |
| 7 | -4.799 |
| 8 | -6.224 |
| 9 | -6.618 |
| 10 | -6.590 |
| 11 | -3.014 |
| 12 | -5.271 |
| 13 | -3.659 |
| 14 | -4.988 |
| 15 | -3.776 |
| 16 | -9.482 |